[1]
{
  "formula": "Tl6HgSb3",
  "functional": "GGA-PBE",
  "state": "optimized geometry",
  "lattice": [[6.403, 0.000, 0.000], [0.000, 9.713, 0.000], [-5.399, 0.000, 10.510]],
  "species": ["Tl", "Tl", "Tl", "Tl", "Tl", "Tl", "Tl", "Tl", "Tl", "Tl", "Tl", "Tl", "Hg", "Hg", "Sb", "Sb", "Sb", "Sb", "Sb", "Sb"],
  "fractional_positions": [[0.031, 0.156, 0.064], [0.031, 0.344, 0.564], [0.354, 0.730, 0.260], [0.354, 0.770, 0.760], [0.386, 0.159, 0.419], [0.386, 0.341, 0.919], [0.614, 0.659, 0.081], [0.614, 0.841, 0.581], [0.646, 0.230, 0.240], [0.646, 0.270, 0.740], [0.969, 0.656, 0.436], [0.969, 0.844, 0.936], [0.000, 0.000, 0.500], [0.000, 0.500, 0.000], [0.057, 0.075, 0.752], [0.057, 0.425, 0.252], [0.500, 0.000, 0.000], [0.500, 0.500, 0.500], [0.943, 0.575, 0.748], [0.943, 0.925, 0.248]],
  "total_energy_ev_per_fu": -26.57,
  "raw_formation_energy_ev_per_atom": 0.03
}


[2]
{
  "formula": "K2H6Au",
  "functional": "GGA-PBE",
  "state": "optimized geometry",
  "lattice": [[5.246, -3.710, 0.000], [5.246, 3.710, 0.000], [-1.905, 0.000, 8.061]],
  "species": ["K", "K", "K", "K", "H", "H", "H", "H", "H", "H", "H", "H", "H", "H", "H", "H", "Au", "Au"],
  "fractional_positions": [[0.131, 0.642, 0.669], [0.358, 0.869, 0.331], [0.642, 0.131, 0.669], [0.869, 0.358, 0.331], [0.030, 0.030, 0.978], [0.052, 0.436, 0.976], [0.076, 0.076, 0.623], [0.309, 0.309, 0.443], [0.436, 0.052, 0.976], [0.463, 0.463, 0.993], [0.537, 0.537, 0.007], [0.564, 0.948, 0.024], [0.691, 0.691, 0.557], [0.924, 0.924, 0.377], [0.948, 0.564, 0.024], [0.970, 0.970, 0.022], [0.174, 0.174, 0.819], [0.826, 0.826, 0.181]],
  "total_energy_ev_per_fu": -25.59
}


[3]
{
  "formula": "AlSe2N2",
  "functional": "GGA-PBE",
  "state": "optimized geometry",
  "lattice": [[7.801, 0.000, 0.000], [0.000, 7.801, 0.000], [0.000, 0.000, 2.841]],
  "species": ["Al", "Al", "Se", "Se", "Se", "Se", "N", "N", "N", "N"],
  "fractional_positions": [[0.000, 0.000, 0.000], [0.500, 0.500, 0.000], [0.236, 0.264, 0.000], [0.264, 0.764, 0.000], [0.736, 0.236, 0.000], [0.764, 0.736, 0.000], [0.153, 0.653, 0.500], [0.347, 0.153, 0.500], [0.653, 0.847, 0.500], [0.847, 0.347, 0.500]],
  "total_energy_ev_per_fu": -22.74,
  "polymorph_energy_kj_per_mol_atoms": 12.92,
  "raw_formation_energy_ev_per_atom": 0.92
}


[4]
{
  "formula": "BaRu2",
  "functional": "GGA-PBE",
  "state": "optimized geometry",
  "lattice": [[-2.298, 2.298, 7.002], [2.298, -2.298, 7.002], [2.298, 2.298, -7.002]],
  "species": ["Ba", "Ba", "Ru", "Ru", "Ru", "Ru"],
  "fractional_positions": [[0.375, 0.625, 0.750], [0.625, 0.375, 0.250], [0.040, 0.790, 0.250], [0.210, 0.960, 0.250], [0.790, 0.040, 0.750], [0.960, 0.210, 0.750]],
  "formation_enthalpy_0k_ev_per_atom": 0.54,
  "total_energy_ev_per_fu": -18.86
}


[5]
{
  "formula": "Ac2Ho2Te2Se3",
  "functional": "GGA-PBE",
  "state": "optimized geometry",
  "lattice": [[-2.669, 2.669, 10.158], [2.669, -2.669, 10.158], [2.669, 2.669, -10.158]],
  "species": ["Ac", "Ac", "Ho", "Ho", "Te", "Te", "Se", "Se", "Se"],
  "fractional_positions": [[0.176, 0.176, 0.000], [0.824, 0.824, 0.000], [0.000, 0.500, 0.500], [0.500, 0.000, 0.500], [0.405, 0.405, 0.000], [0.595, 0.595, 0.000], [0.000, 0.000, 0.000], [0.250, 0.750, 0.500], [0.750, 0.250, 0.500]],
  "total_energy_ev_per_fu": -47.68,
  "raw_formation_energy_ev_per_atom": -1.51
}


[6]
{
  "formula": "Pm3Pr6Sm2Dy",
  "functional": "GGA-PBE",
  "state": "optimized geometry",
  "lattice": [[3.185, -5.518, 0.000], [3.185, 5.518, 0.000], [-2.128, 0.000, 11.930]],
  "species": ["Pm", "Pm", "Pm", "Pr", "Pr", "Pr", "Pr", "Pr", "Pr", "Sm", "Sm", "Dy"],
  "fractional_positions": [[0.000, 0.000, 0.000], [0.333, 0.667, 0.000], [0.667, 0.333, 0.000], [0.084, 0.417, 0.251], [0.250, 0.250, 0.749], [0.417, 0.084, 0.251], [0.583, 0.916, 0.749], [0.750, 0.750, 0.251], [0.916, 0.583, 0.749], [0.167, 0.833, 0.500], [0.833, 0.167, 0.500], [0.500, 0.500, 0.500]],
  "formation_enthalpy_0k_ev_per_atom": 0.01,
  "total_energy_ev_per_fu": -56.82
}


[7]
{
  "formula": "Be3NbCr",
  "functional": "GGA-PBE",
  "state": "optimized geometry",
  "lattice": [[3.932, 0.000, 0.000], [0.000, 3.932, 0.000], [0.000, 0.000, 3.932]],
  "species": ["Be", "Be", "Be", "Nb", "Cr"],
  "fractional_positions": [[0.000, 0.000, 0.500], [0.000, 0.500, 0.000], [0.500, 0.000, 0.000], [0.500, 0.500, 0.500], [0.000, 0.000, 0.000]],
  "formation_enthalpy_0k_ev_per_atom": 0.74,
  "total_energy_ev_per_fu": -27.18,
  "polymorph_energy_kj_per_mol_atoms": 0.00
}


[8]
{
  "formula": "Sr2TiFe4",
  "functional": "GGA-PBE",
  "state": "optimized geometry",
  "lattice": [[-2.316, 2.316, 7.879], [2.316, -2.316, 7.879], [2.316, 2.316, -7.879]],
  "species": ["Sr", "Sr", "Ti", "Fe", "Fe", "Fe", "Fe"],
  "fractional_positions": [[0.146, 0.146, 0.000], [0.854, 0.854, 0.000], [0.500, 0.500, 0.000], [0.000, 0.500, 0.500], [0.358, 0.358, 0.000], [0.500, 0.000, 0.500], [0.642, 0.642, 0.000]],
  "formation_enthalpy_0k_ev_per_atom": 0.84,
  "total_energy_ev_per_fu": -39.25
}


[9]
{
  "formula": "NdHoCCl",
  "functional": "GGA-PBE",
  "state": "optimized geometry",
  "lattice": [[1.839, 1.062, 7.058], [-1.839, 1.062, 7.058], [0.000, -2.124, 7.058]],
  "species": ["Nd", "Ho", "C", "Cl"],
  "fractional_positions": [[0.000, 0.000, 0.000], [0.793, 0.793, 0.793], [0.403, 0.403, 0.403], [0.223, 0.223, 0.223]],
  "total_energy_ev_per_fu": -24.63,
  "raw_formation_energy_ev_per_atom": -1.05
}


[10]
{
  "formula": "YSc2Zn",
  "functional": "GGA-PBE",
  "state": "optimized geometry",
  "lattice": [[-1.745, 2.531, 5.376], [1.745, -2.531, 5.376], [1.745, 2.531, -5.376]],
  "species": ["Y", "Sc", "Sc", "Zn"],
  "fractional_positions": [[0.000, 0.000, 0.000], [0.285, 0.785, 0.500], [0.715, 0.215, 0.500], [0.500, 0.500, 0.000]],
  "formation_enthalpy_0k_ev_per_atom": -0.17,
  "total_energy_ev_per_fu": -21.10
}


[11]
{
  "formula": "Mo2PtRh2",
  "functional": "GGA-PBE",
  "state": "optimized geometry",
  "lattice": [[7.476, 0.000, 0.000], [0.000, 7.476, 0.000], [0.000, 0.000, 2.787]],
  "species": ["Mo", "Mo", "Mo", "Mo", "Pt", "Pt", "Rh", "Rh", "Rh", "Rh"],
  "fractional_positions": [[0.171, 0.329, 0.000], [0.329, 0.829, 0.000], [0.671, 0.171, 0.000], [0.829, 0.671, 0.000], [0.000, 0.000, 0.500], [0.500, 0.500, 0.500], [0.126, 0.626, 0.500], [0.374, 0.126, 0.500], [0.626, 0.874, 0.500], [0.874, 0.374, 0.500]],
  "formation_enthalpy_0k_ev_per_atom": -0.05,
  "total_energy_ev_per_fu": -42.65,
  "polymorph_energy_kj_per_mol_atoms": 16.26
}


[12]
{
  "formula": "LaZn6Ag6",
  "functional": "GGA-PBE",
  "state": "optimized geometry",
  "lattice": [[-2.616, 4.698, 4.701], [2.616, -4.698, 4.701], [2.616, 4.698, -4.701]],
  "species": ["La", "Zn", "Zn", "Zn", "Zn", "Zn", "Zn", "Ag", "Ag", "Ag", "Ag", "Ag", "Ag"],
  "fractional_positions": [[0.000, 0.000, 0.000], [0.000, 0.000, 0.500], [0.000, 0.500, 0.000], [0.228, 0.500, 0.728], [0.500, 0.000, 0.000], [0.500, 0.500, 0.500], [0.772, 0.500, 0.272], [0.206, 0.706, 0.500], [0.347, 0.000, 0.347], [0.351, 0.351, 0.000], [0.649, 0.649, 0.000], [0.653, 0.000, 0.653], [0.794, 0.294, 0.500]],
  "formation_enthalpy_0k_ev_per_atom": -0.17,
  "total_energy_ev_per_fu": -31.83
}


[13]
{
  "formula": "ZnSiBr2",
  "functional": "GGA-PBE",
  "state": "optimized geometry",
  "lattice": [[7.033, -2.008, 0.000], [7.033, 2.008, 0.000], [-1.435, 0.000, 4.632]],
  "species": ["Zn", "Si", "Br", "Br"],
  "fractional_positions": [[0.000, 0.000, 0.000], [0.526, 0.526, 0.325], [0.131, 0.131, 0.723], [0.390, 0.390, 0.507]],
  "total_energy_ev_per_fu": -10.58,
  "polymorph_energy_kj_per_mol_atoms": 2.51,
  "raw_formation_energy_ev_per_atom": -0.13
}


[14]
{
  "formula": "Ir5RuRh6",
  "functional": "GGA-PBE",
  "state": "optimized geometry",
  "lattice": [[-1.922, 3.862, 5.772], [1.922, -3.862, 5.772], [1.922, 3.862, -5.772]],
  "species": ["Ir", "Ir", "Ir", "Ir", "Ir", "Ru", "Rh", "Rh", "Rh", "Rh", "Rh", "Rh"],
  "fractional_positions": [[0.000, 0.000, 0.000], [0.166, 0.666, 0.500], [0.335, 0.335, 0.000], [0.665, 0.665, 0.000], [0.834, 0.334, 0.500], [0.500, 0.000, 0.500], [0.084, 0.834, 0.251], [0.252, 0.500, 0.752], [0.417, 0.166, 0.251], [0.583, 0.834, 0.749], [0.748, 0.500, 0.248], [0.916, 0.166, 0.749]],
  "formation_enthalpy_0k_ev_per_atom": 0.00,
  "total_energy_ev_per_fu": -97.66
}


[15]
{
  "formula": "Sc2ZnGeO6",
  "functional": "GGA-PBE",
  "state": "optimized geometry",
  "lattice": [[2.623, 1.515, 4.724], [-2.623, 1.515, 4.724], [0.000, -3.029, 4.724]],
  "species": ["Sc", "Sc", "Zn", "Ge", "O", "O", "O", "O", "O", "O"],
  "fractional_positions": [[0.000, 0.000, 0.000], [0.491, 0.491, 0.491], [0.226, 0.226, 0.226], [0.698, 0.698, 0.698], [0.064, 0.432, 0.785], [0.315, 0.888, 0.605], [0.432, 0.785, 0.064], [0.605, 0.315, 0.888], [0.785, 0.064, 0.432], [0.888, 0.605, 0.315]],
  "total_energy_ev_per_fu": -73.36,
  "raw_formation_energy_ev_per_atom": -2.51
}


[16]
{
  "formula": "Cs2Bi3",
  "functional": "GGA-PBE",
  "state": "optimized geometry",
  "lattice": [[3.426, -6.863, 0.000], [3.426, 6.863, 0.000], [0.000, 0.000, 9.968]],
  "species": ["Cs", "Cs", "Cs", "Cs", "Bi", "Bi", "Bi", "Bi", "Bi", "Bi"],
  "fractional_positions": [[0.161, 0.839, 0.895], [0.339, 0.661, 0.395], [0.661, 0.339, 0.605], [0.839, 0.161, 0.105], [0.000, 0.000, 0.500], [0.163, 0.337, 0.750], [0.337, 0.163, 0.250], [0.500, 0.500, 0.000], [0.663, 0.837, 0.750], [0.837, 0.663, 0.250]],
  "formation_enthalpy_0k_ev_per_atom": -0.29,
  "total_energy_ev_per_fu": -14.79,
  "polymorph_energy_kj_per_mol_atoms": 1.70
}


[17]
{
  "formula": "LiTiAl",
  "functional": "GGA-PBE",
  "state": "optimized geometry",
  "lattice": [[4.117, 0.000, 0.000], [-2.058, 3.565, 0.000], [0.000, 0.000, 10.494]],
  "species": ["Li", "Li", "Ti", "Ti", "Al", "Al"],
  "fractional_positions": [[0.333, 0.667, 0.250], [0.667, 0.333, 0.750], [0.000, 0.000, 0.000], [0.000, 0.000, 0.500], [0.000, 0.000, 0.250], [0.000, 0.000, 0.750]],
  "formation_enthalpy_0k_ev_per_atom": 1.19,
  "total_energy_ev_per_fu": -9.99,
  "polymorph_energy_kj_per_mol_atoms": 134.65
}


[18]
{
  "formula": "ReAsI2N",
  "functional": "GGA-PBE",
  "state": "optimized geometry",
  "lattice": [[5.987, 0.000, 0.000], [0.000, 5.987, 0.000], [0.000, 0.000, 3.635]],
  "species": ["Re", "As", "I", "I", "N"],
  "fractional_positions": [[0.000, 0.000, 0.000], [0.500, 0.500, 0.500], [0.000, 0.500, 0.500], [0.500, 0.000, 0.500], [0.500, 0.500, 0.000]],
  "total_energy_ev_per_fu": -20.16,
  "polymorph_energy_kj_per_mol_atoms": 92.84,
  "raw_formation_energy_ev_per_atom": 1.67
}


[19]
{
  "formula": "Zn",
  "functional": "GGA-PBE",
  "state": "optimized geometry",
  "lattice": [[5.067, 0.000, 0.000], [-2.534, 4.388, 0.000], [0.000, 0.000, 8.454]],
  "species": ["Zn", "Zn", "Zn", "Zn", "Zn", "Zn", "Zn", "Zn", "Zn", "Zn", "Zn", "Zn"],
  "fractional_positions": [[0.000, 0.000, 0.000], [0.000, 0.000, 0.500], [0.170, 0.340, 0.250], [0.170, 0.830, 0.250], [0.333, 0.667, 0.567], [0.333, 0.667, 0.933], [0.340, 0.170, 0.750], [0.660, 0.830, 0.250], [0.667, 0.333, 0.067], [0.667, 0.333, 0.433], [0.830, 0.170, 0.750], [0.830, 0.660, 0.750]],
  "formation_enthalpy_0k_ev_per_atom": 0.10,
  "total_energy_ev_per_fu": -1.18,
  "polymorph_energy_kj_per_mol_atoms": 9.54
}


[20]
{
  "formula": "Pr6HAu3",
  "functional": "GGA-PBE",
  "state": "optimized geometry",
  "lattice": [[6.672, 0.000, 0.000], [0.000, 7.941, 0.000], [-6.315, 0.000, 10.590]],
  "species": ["Pr", "Pr", "Pr", "Pr", "Pr", "Pr", "Pr", "Pr", "Pr", "Pr", "Pr", "Pr", "H", "H", "Au", "Au", "Au", "Au", "Au", "Au"],
  "fractional_positions": [[0.076, 0.208, 0.432], [0.076, 0.292, 0.932], [0.280, 0.652, 0.444], [0.280, 0.848, 0.944], [0.404, 0.053, 0.239], [0.404, 0.447, 0.739], [0.596, 0.553, 0.261], [0.596, 0.947, 0.761], [0.720, 0.152, 0.056], [0.720, 0.348, 0.556], [0.924, 0.708, 0.068], [0.924, 0.792, 0.568], [0.000, 0.000, 0.000], [0.000, 0.500, 0.500], [0.147, 0.113, 0.726], [0.147, 0.387, 0.226], [0.500, 0.000, 0.500], [0.500, 0.500, 0.000], [0.853, 0.613, 0.774], [0.853, 0.887, 0.274]],
  "total_energy_ev_per_fu": -46.53
}


[21]
{
  "formula": "Sr2ZnMo",
  "functional": "GGA-PBE",
  "state": "optimized geometry",
  "lattice": [[3.625, 0.000, 0.000], [0.000, 3.625, 0.000], [0.000, 0.000, 8.998]],
  "species": ["Sr", "Sr", "Zn", "Mo"],
  "fractional_positions": [[0.000, 0.000, 0.000], [0.500, 0.500, 0.402], [0.000, 0.000, 0.651], [0.500, 0.500, 0.748]],
  "formation_enthalpy_0k_ev_per_atom": 0.48,
  "total_energy_ev_per_fu": -13.55
}


[22]
{
  "formula": "Ta2MnW",
  "functional": "GGA-PBE",
  "state": "optimized geometry",
  "lattice": [[-1.588, 2.285, 4.365], [1.588, -2.285, 4.365], [1.588, 2.285, -4.365]],
  "species": ["Ta", "Ta", "Mn", "W"],
  "fractional_positions": [[0.243, 0.243, 0.000], [0.757, 0.757, 0.000], [0.000, 0.500, 0.500], [0.500, 0.000, 0.500]],
  "formation_enthalpy_0k_ev_per_atom": 0.01,
  "total_energy_ev_per_fu": -45.78
}


[23]
{
  "formula": "Ce5PuSn",
  "functional": "GGA-PBE",
  "state": "optimized geometry",
  "lattice": [[5.636, -3.202, 0.000], [5.636, 3.202, 0.000], [-4.081, 0.000, 10.597]],
  "species": ["Ce", "Ce", "Ce", "Ce", "Ce", "Ce", "Ce", "Ce", "Ce", "Ce", "Pu", "Pu", "Sn", "Sn"],
  "fractional_positions": [[0.007, 0.430, 0.242], [0.020, 0.980, 0.750], [0.175, 0.657, 0.490], [0.343, 0.825, 0.010], [0.430, 0.007, 0.742], [0.570, 0.993, 0.258], [0.657, 0.175, 0.990], [0.825, 0.343, 0.510], [0.980, 0.020, 0.250], [0.993, 0.570, 0.758], [0.000, 0.500, 0.000], [0.500, 0.000, 0.500], [0.464, 0.536, 0.250], [0.536, 0.464, 0.750]],
  "formation_enthalpy_0k_ev_per_atom": -0.07,
  "total_energy_ev_per_fu": -48.53
}